The following is a PBE-GGA calculation of crystalline Sc2PdPb at its relaxed geometry, from the Alexandria database.

Structure (POSCAR):
```
Sc2PdPb
1.0
-9.567 -0.492 -1.417
-9.465 0.992 1.791
-9.140 3.004 -1.099
Pb Sc Pd
1 2 1
Direct
0.000 0.000 0.000
0.895 0.895 0.895
0.105 0.105 0.105
0.500 0.500 0.500
```

Calculated values
calculated formation energy: -0.22 eV/atom
SG: R-3m (166)
density of states at the Fermi level: 1.0996 states/eV per atom
electronic total energy: -5.61 eV per atom

The following is a PBE-GGA calculation of crystalline FeSi2Se at its relaxed geometry, from the Alexandria database.

Structure (POSCAR):
```
FeSi2Se
1.0
8.719 -0.040 -0.024
8.225 2.891 -0.024
8.225 1.384 2.538
Fe Se Si
1 1 2
Direct
0.503 0.503 0.503
0.776 0.776 0.776
0.980 0.980 0.980
0.241 0.241 0.241
```

Calculated values
SG: R3m (160)
density of states at the Fermi level: 0.3502 states/eV per atom
ΔE_f (raw): 0.9 eV/f.u.
electronic total energy: -5.48 eV per atom

The following is a PBE-GGA calculation of crystalline LuPuZnGa at its relaxed geometry, from the Alexandria database.

Structure (POSCAR):
```
LuPuZnGa
1.0
-4.972 0.540 0.242
-2.617 -2.446 3.499
-2.062 2.521 3.803
Zn Lu Ga Pu
1 1 1 1
Direct
0.750 0.750 0.750
0.500 0.500 0.500
0.250 0.250 0.250
0.000 0.000 0.000
```

Calculated values
calculated formation energy: -0.31 eV/atom
SG: F-43m (216)
density of states at the Fermi level: 1.5734 states/eV per atom
electronic total energy: -6.10 eV per atom

The following is a PBE-GGA calculation of crystalline AcCdIr at its relaxed geometry, from the Alexandria database.

Structure (POSCAR):
```
AcCdIr
1.0
1.443 2.148 -6.544
-2.082 -8.386 -1.405
-4.998 4.365 5.362
Ir Ac Cd
4 4 4
Direct
0.237 0.860 0.925
0.766 0.522 0.673
0.763 0.140 0.075
0.234 0.478 0.327
0.181 0.837 0.532
0.528 0.670 0.853
0.819 0.163 0.468
0.472 0.330 0.147
0.278 0.673 0.134
0.774 0.879 0.685
0.722 0.327 0.866
0.226 0.121 0.315
```

Calculated values
relative energy among the computed polymorphs: 3.832 kcal/mol of atoms
calculated formation energy: -0.31 eV/atom
SG: P-1 (2)
density of states at the Fermi level: 0.7890 states/eV per atom
electronic total energy: -4.94 eV per atom

The following is a PBE-GGA calculation of crystalline AcBiAs2Rh5 at its relaxed geometry, from the Alexandria database.

Structure (POSCAR):
```
AcBiAs2Rh5
1.0
-1.224 -1.988 3.439
3.645 0.868 1.799
-4.135 9.285 3.897
Ac Bi As Rh
1 1 2 5
Direct
0.000 0.000 0.500
0.000 0.000 0.000
0.500 0.500 0.280
0.500 0.500 0.720
0.000 0.500 0.168
0.500 0.000 0.168
0.000 0.500 0.832
0.500 0.000 0.832
0.500 0.500 0.500
```

Calculated values
calculated formation energy: -0.49 eV/atom
SG: P4/mmm (123)
density of states at the Fermi level: 0.6564 states/eV per atom
electronic total energy: -6.49 eV per atom

The following is a PBE-GGA calculation of crystalline Sc4InCu2 at its relaxed geometry, from the Alexandria database.

Structure (POSCAR):
```
Sc4InCu2
1.0
-2.911 3.522 0.263
-1.392 1.518 4.087
5.232 7.173 1.680
Sc In Cu
4 1 2
Direct
0.388 0.388 0.836
0.202 0.202 0.393
0.798 0.798 0.607
0.612 0.612 0.164
0.000 0.000 0.000
0.100 0.100 0.700
0.900 0.900 0.300
```

Calculated values
calculated formation energy: -0.01 eV/atom
SG: R-3m (166)
density of states at the Fermi level: 1.4898 states/eV per atom
electronic total energy: -5.19 eV per atom

The following is a PBE-GGA calculation of crystalline Sr3MgTl2 at its relaxed geometry, from the Alexandria database.

Structure (POSCAR):
```
Sr3MgTl2
1.0
-3.492 -0.765 -2.047
-0.455 -3.520 2.091
-6.443 6.024 8.738
Sr Mg Tl
3 1 2
Direct
0.000 0.000 0.000
0.000 0.000 0.675
0.000 0.000 0.325
0.500 0.500 0.500
0.500 0.500 0.836
0.500 0.500 0.164
```

Calculated values
relative energy among the computed polymorphs: 0.000 kcal/mol of atoms
calculated formation energy: -0.31 eV/atom
SG: P4/mmm (123)
density of states at the Fermi level: 0.6880 states/eV per atom
electronic total energy: -2.21 eV per atom

The following is a PBE-GGA calculation of crystalline NiTePbN2 at its relaxed geometry, from the Alexandria database.

Structure (POSCAR):
```
NiTePbN2
1.0
-0.293 -4.055 -0.147
2.335 -0.289 3.318
-4.114 0.191 2.911
Pb Ni Te N
1 1 1 2
Direct
0.500 0.500 0.500
0.000 0.000 0.000
0.000 0.000 0.500
0.000 0.500 0.000
0.500 0.000 0.000
```

Calculated values
relative energy among the computed polymorphs: 0.000 kcal/mol of atoms
SG: P4/mmm (123)
density of states at the Fermi level: 0.6208 states/eV per atom
ΔE_f (raw): 6.6 eV/f.u.
electronic total energy: -4.55 eV per atom